[1]
The following is a DFT calculation (PBE) of a geometry-optimized InBiBBr2 structure.

Lattice parameters (Å, degrees): 5.6914 5.6914 4.4466 90.00 90.00 90.00
Last column: nearest neighbours and their distance in Å.
Fractional coordinates of all 5 atoms:
In 0.0000 0.0000 0.0000  2 B 2.22
Bi 0.5000 0.5000 0.0000  8 Br 3.61, 4 In 4.02
B 0.0000 0.0000 0.5000  2 In 2.22
Br 0.0000 0.5000 0.5000  2 B 2.85
Br 0.5000 0.0000 0.5000  2 B 2.85

[2]
The following is a DFT calculation (PBE) of a geometry-optimized ReBiSeBr2 structure.

Lattice parameters (Å, degrees): 5.1875 5.1875 4.7886 90.00 90.00 90.00
Last column: nearest neighbours and their distance in Å.
Fractional coordinates of all 5 atoms:
Re 0.0000 0.0000 0.0000  2 Se 2.39, 4 Br 2.59
Bi 0.5000 0.5000 0.5000  8 Br 3.53, 4 Se 3.67
Se 0.0000 0.0000 0.5000  2 Re 2.39
Br 0.0000 0.5000 0.0000  2 Re 2.59
Br 0.5000 0.0000 0.0000  2 Re 2.59

Properties
The energy above the lowest structure with this stoichiometry comes out at 0.000 eV/f.u.

| no. | formation energy without anion corrections (eV/atom) |
| --- | --- |
| 1 | 0.604 |
| 2 | 0.529 |